Here is a geometry-optimized CaZrAl2 structure from Alexandria via LeMat-Bulk. Energies are from PBE-GGA.

Calculated values
SG: No. 122
Formation energy in meV per atom: 260

Cell: 7.812 7.812 6.371 Å, 52.19 52.19 90.00°
Positions (direct):
1 Ca 0.500 0.500 0.000
2 Ca 0.250 0.750 0.500
3 Al 0.641 0.125 0.250
4 Al 0.109 0.625 0.250
5 Al 0.375 0.359 0.750
6 Al 0.875 0.891 0.750
7 Zr 0.000 0.000 0.000
8 Zr 0.750 0.250 0.500



Here is a geometry-optimized CaZrAl structure from Alexandria via LeMat-Bulk. Energies are from PBE-GGA.

Calculated values
Distance to the lowest polymorph of the same formula in eV/f.u.: 0.29
SG: No. 65
Formation energy in meV per atom: -45

Cell: 4.287 14.535 4.550 Å, 90.00 90.00 90.00°
Positions (direct):
1 Ca 0.000 0.000 0.000
2 Ca 0.500 0.500 0.000
3 Ca 0.500 0.000 0.500
4 Ca 0.000 0.500 0.500
5 Al 0.000 0.316 0.000
6 Al 0.000 0.684 0.000
7 Al 0.500 0.816 0.000
8 Al 0.500 0.184 0.000
9 Zr 0.000 0.822 0.500
10 Zr 0.000 0.178 0.500
11 Zr 0.500 0.322 0.500
12 Zr 0.500 0.678 0.500